# 1
A relaxed structure of La2ZrInC. Source: Alexandria, functional PBE-GGA.

Cell: 5.5933 5.4276 5.5933 Å, 90.00 90.00 90.00°
Closest atoms and distances in Å follow each position.
Element x y z (fractional)
La 0.0000 0.0000 0.5000  2 Zr 2.80
La 0.5000 0.0000 0.0000  2 Zr 2.80
Zr 0.0000 0.0000 0.0000  2 In 2.71, 4 La 2.80
C 0.5000 0.5000 0.5000  8 La 3.90, 4 In 3.96
In 0.0000 0.5000 0.0000  2 Zr 2.71

Calculated values
**Energy relative to the lowest polymorph listed for this composition**: 1.850 eV/atom
**SG**: P4/mmm
**Fermi-level density of states**: 5.6 states/eV/cell

---

# 2
A relaxed structure of CsNa3Si. Source: Alexandria, functional PBE-GGA.

Cell: 6.1225 6.1225 6.1225 Å, 90.00 90.00 90.00°
Closest atoms and distances in Å follow each position.
Element x y z (fractional)
Na 0.5000 0.0000 0.0000  2 Cs 3.06
Na 0.0000 0.0000 0.5000  2 Cs 3.06
Na 0.0000 0.5000 0.0000  2 Cs 3.06
Si 0.5000 0.5000 0.5000  12 Na 4.33
Cs 0.0000 0.0000 0.0000  6 Na 3.06

Calculated values
**Energy relative to the lowest polymorph listed for this composition**: 1.005 eV/atom
**SG**: Pm-3m
**Fermi-level density of states**: 5.2 states/eV/cell
**Energy relative to the elements, uncorrected**: 1.098 eV/atom

---

# 3
A relaxed structure of SrMgInGe2. Source: Alexandria, functional PBE-GGA.

Cell: 4.4701 4.4701 6.9592 Å, 108.73 108.73 90.00°
Closest atoms and distances in Å follow each position.
Element x y z (fractional)
Sr 0.0000 0.0000 0.0000  8 Ge 3.43, 4 In 3.82, 4 Mg 3.82
In 0.2500 0.7500 0.5000  4 Ge 2.85, 4 Mg 3.16
Ge 0.6072 0.6072 0.2144  1 Ge 2.66, 2 In 2.85, 2 Mg 2.85
Ge 0.3928 0.3928 0.7856  1 Ge 2.66, 2 In 2.85, 2 Mg 2.85
Mg 0.7500 0.2500 0.5000  4 Ge 2.85, 4 In 3.16

Calculated values
**SG**: I-4m2
**Fermi-level density of states**: 1.5 states/eV/cell
**Electronic total energy**: -17.1 eV per formula unit

---

# 4
A relaxed structure of BaTcS2. Source: Alexandria, functional PBE-GGA.

Cell: 4.4704 7.4836 7.8727 Å, 103.60 104.52 105.12°
Closest atoms and distances in Å follow each position.
Element x y z (fractional)
S 0.2984 0.4833 0.5134  2 Tc 2.34-2.36
S 0.1916 0.7209 0.0003  1 Tc 2.35
S 0.4974 0.9735 0.4563  1 Tc 2.31
S 0.3812 0.2612 0.8883  2 Tc 2.35
Tc 0.5600 0.2829 0.6348  1 Tc 2.21, 3 S 2.31-2.36
Tc 0.0955 0.4431 0.7530  1 Tc 2.21, 3 S 2.34-2.35
Ba 0.7762 0.6504 0.2797  7 S 3.19-3.39
Ba 0.7099 0.9242 0.8405  6 S 3.07-3.37

Calculated values
**Energy relative to the lowest polymorph listed for this composition**: 0.057 eV/atom
**SG**: P1
**Fermi-level density of states**: 1.9 states/eV/cell
**Energy relative to the elements, uncorrected**: -1.060 eV/atom

---

# 5
A relaxed structure of Er6GaSb2. Source: Alexandria, functional PBE-GGA.

Cell: 6.8230 6.8230 13.1246 Å, 90.00 90.00 90.00°
Closest atoms and distances in Å follow each position.
Element x y z (fractional)
Er 0.7872 0.2128 0.5000  1 Ga 2.77, 2 Sb 2.99
Er 0.3047 0.3047 0.6580  1 Ga 2.80, 2 Sb 2.94-2.98
Er 0.8047 0.1953 0.1580  1 Ga 2.80, 2 Sb 2.94-2.98
Er 0.3047 0.3047 0.3420  1 Ga 2.80, 2 Sb 2.94-2.98
Er 0.7128 0.7128 0.0000  1 Ga 2.77, 2 Sb 2.99
Er 0.6953 0.6953 0.6580  1 Ga 2.80, 2 Sb 2.94-2.98
Er 0.6953 0.6953 0.3420  1 Ga 2.80, 2 Sb 2.94-2.98
Er 0.2872 0.2872 0.0000  1 Ga 2.77, 2 Sb 2.99
Er 0.1953 0.8047 0.8420  1 Ga 2.80, 2 Sb 2.94-2.98
Er 0.8047 0.1953 0.8420  1 Ga 2.80, 2 Sb 2.94-2.98
Er 0.1953 0.8047 0.1580  1 Ga 2.80, 2 Sb 2.94-2.98
Er 0.2128 0.7872 0.5000  1 Ga 2.77, 2 Sb 2.99
Ga 0.5000 0.5000 0.5000  6 Er 2.77-2.80
Ga 0.0000 0.0000 0.0000  6 Er 2.77-2.80
Sb 0.5000 0.5000 0.8339  6 Er 2.94-2.99
Sb 0.0000 0.0000 0.3339  6 Er 2.94-2.99
Sb 0.5000 0.5000 0.1661  6 Er 2.94-2.99
Sb 0.0000 0.0000 0.6661  6 Er 2.94-2.99

Calculated values
**SG**: P4_2/mnm
**Fermi-level density of states**: 35.2 states/eV/cell
**Energy relative to the elements, uncorrected**: -0.229 eV/atom

---

# 6
A relaxed structure of SbPtW2. Source: Alexandria, functional PBE-GGA.

Cell: 2.8978 2.8978 8.9140 Å, 90.00 90.00 104.19°
Closest atoms and distances in Å follow each position.
Element x y z (fractional)
W 0.5000 0.5000 0.2497  2 Pt 2.65, 6 W 2.69-2.90
W 0.0000 0.0000 0.0228  6 W 2.69-2.90, 2 Sb 2.96
Pt 0.0000 0.0000 0.4702  2 W 2.65, 4 Pt 2.90
Sb 0.5000 0.5000 0.7573  4 Sb 2.90, 2 W 2.96, 2 Pt 3.12

Calculated values
**SG**: Cmm2
**Fermi-level density of states**: 3.7 states/eV/cell
**Energy relative to the elements, uncorrected**: 0.338 eV/atom